Entry 1:
A geometry-optimized TeCF2 structure, computed with PBE.

The value obtained for the raw formation energy is 831 meV per atom. Its excess energy over the best structure of this formula in the dataset is 226 meV per atom.

The structure belongs to space group Fm-3m (No. 225); the cell edges are 5.872, 5.872 and 5.872 Å and the angles 90.00°, 90.00° and 90.00°. Symmetry generates all atoms from Te at (0.000, 0.000, 0.000), C at (0.000, 0.000, 0.500) and F at (0.250, 0.250, 0.250).

---

Entry 2:
A geometry-optimized CaHfSc2O6 structure, computed with PBE.

The value obtained for the raw formation energy is -3432 meV per atom.

The structure belongs to space group R3 (No. 146, hexagonal axes); the cell edges are 5.4948, 5.4948 and 14.6029 Å and the angles 90.00°, 90.00° and 120.00°. Symmetry generates all atoms from Ca at (0.0000, 0.0000, 0.0000), Hf at (0.0000, 0.0000, 0.5138), Sc at (0.0000, 0.0000, 0.2193), Sc at (0.0000, 0.0000, 0.7227), O at (0.0177, 0.3493, 0.7886) and O at (0.0761, 0.7115, 0.2823).

---

Entry 3:
A geometry-optimized TlSb2Os structure, computed with PBE.

The value obtained for the raw formation energy is 878 meV per atom. Its excess energy over the best structure of this formula in the dataset is 664 meV per atom.

The structure belongs to space group I-4m2 (No. 119); the cell edges are 4.650, 4.650 and 8.220 Å and the angles 90.00°, 90.00° and 90.00°. Symmetry generates all atoms from Tl at (0.000, 0.000, 0.000), Sb at (0.000, 0.000, 0.500), Sb at (0.000, 0.500, 0.250) and Os at (0.000, 0.500, 0.750).